[1]
# CrIn2Ir

A geometry-optimized CrIn2Ir structure (PBE-GGA, Alexandria via LeMat-Bulk).

a b c (Å): 4.0919 4.0919 8.5564
angles (deg): 90.00 90.00 90.00
With the nearest neighbours (Å) after each atom.
Fractional coordinates of all 8 atoms:
Cr1 0.0000 0.0000 0.0000  8 In 2.89-2.96, 4 Ir 2.96
Cr2 0.5000 0.5000 0.5000  8 In 2.89-2.96, 4 Ir 2.96
In1 0.0000 0.0000 0.5000  4 Cr 2.89, 4 In 2.96, 4 Ir 2.96
In2 0.0000 0.5000 0.7500  4 Ir 2.89, 4 Cr 2.96, 4 In 2.96
In3 0.5000 0.0000 0.2500  4 Ir 2.89, 4 Cr 2.96, 4 In 2.96
In4 0.5000 0.5000 0.0000  4 Cr 2.89, 4 In 2.96, 4 Ir 2.96
Ir1 0.0000 0.5000 0.2500  8 In 2.89-2.96, 4 Cr 2.96
Ir2 0.5000 0.0000 0.7500  8 In 2.89-2.96, 4 Cr 2.96

Space-group type = I-4m2 (119)
Calculated formation energy = 0.191 eV/atom
VASP energy = -5.800 eV per atom
Calculated density = 11.0 Mg/m³
Relative energy among the computed polymorphs = 0.1214 eV/atom

=====

[2]
# Er3Cu4Ge4

A geometry-optimized Er3Cu4Ge4 structure (PBE-GGA, Alexandria via LeMat-Bulk).

a b c (Å): 7.9590 7.9590 7.9590
angles (deg): 149.59 130.69 59.04
With the nearest neighbours (Å) after each atom.
Fractional coordinates of all 11 atoms:
Er1 0.0000 0.0000 0.0000  6 Ge 2.92-3.00
Er2 0.3703 0.8703 0.5000  6 Cu 2.98-3.06, 6 Ge 2.98-3.04
Er3 0.6297 0.1297 0.5000  6 Cu 2.98-3.06, 6 Ge 2.98-3.04
Cu1 0.0211 0.3306 0.6905  4 Ge 2.47-2.59, 1 Cu 2.53
Cu2 0.3599 0.6694 0.6905  4 Ge 2.47-2.59, 1 Cu 2.53
Cu3 0.6401 0.3306 0.3095  4 Ge 2.47-2.59, 1 Cu 2.53
Cu4 0.9789 0.6694 0.3095  4 Ge 2.47-2.59, 1 Cu 2.53
Ge1 0.2167 0.2167 0.0000  6 Cu 2.53-2.59
Ge2 0.3076 0.5000 0.8076  2 Cu 2.47, 1 Ge 2.55
Ge3 0.6924 0.5000 0.1924  2 Cu 2.47, 1 Ge 2.55
Ge4 0.7833 0.7833 0.0000  6 Cu 2.53-2.59

Space-group type = Immm (71)
Calculated formation energy = -0.629 eV/atom
VASP energy = -5.042 eV per atom
Calculated density = 9.1 Mg/m³

=====

[3]
# Pa2PtC

A geometry-optimized Pa2PtC structure (PBE-GGA, Alexandria via LeMat-Bulk).

a b c (Å): 3.2166 3.2166 25.7380
angles (deg): 90.00 90.00 120.00
With the nearest neighbours (Å) after each atom.
Fractional coordinates of all 12 atoms:
Pa1 0.0000 0.0000 0.1065  3 C 2.42
Pa2 0.0000 0.0000 0.8935  3 C 2.42
Pa3 0.3333 0.6667 0.5602  3 C 2.42
Pa4 0.3333 0.6667 0.7731  3 C 2.42
Pa5 0.6667 0.3333 0.2269  3 C 2.42
Pa6 0.6667 0.3333 0.4398  3 C 2.42
Pt1 0.0000 0.0000 0.0000  2 Pa 2.74
Pt2 0.3333 0.6667 0.6667  2 Pa 2.74
Pt3 0.6667 0.3333 0.3333  2 Pa 2.74
C1 0.0000 0.0000 0.5000  6 Pa 2.42
C2 0.3333 0.6667 0.1667  6 Pa 2.42
C3 0.6667 0.3333 0.8333  6 Pa 2.42

Space-group type = R-3m (166)
Calculated formation energy = -0.180 eV/atom
VASP energy = -8.744 eV per atom
Calculated density = 14.5 Mg/m³
Relative energy among the computed polymorphs = 0.1810 eV/atom

=====

[4]
# Y3Mo

A geometry-optimized Y3Mo structure (PBE-GGA, Alexandria via LeMat-Bulk).

a b c (Å): 3.4193 4.7798 6.6201
angles (deg): 90.00 104.03 90.00
With the nearest neighbours (Å) after each atom.
Fractional coordinates of all 4 atoms:
Y1 0.0000 0.0000 0.0000  2 Mo 3.31, 10 Y 3.41-3.48
Y2 0.3881 0.5000 0.7206  2 Mo 2.94, 1 Y 3.19
Y3 0.6119 0.5000 0.2794  2 Mo 2.94, 1 Y 3.19
Mo1 0.0000 0.0000 0.5000  4 Y 2.94

Space-group type = P2/m (10)
Calculated formation energy = 0.375 eV/atom
VASP energy = -7.181 eV per atom
Calculated density = 5.7 Mg/m³
Relative energy among the computed polymorphs = 0.1988 eV/atom

=====

[5]
# Ba3Bi3Sb

A geometry-optimized Ba3Bi3Sb structure (PBE-GGA, Alexandria via LeMat-Bulk).

a b c (Å): 11.8572 11.8572 14.7752
angles (deg): 90.00 90.00 37.14
With the nearest neighbours (Å) after each atom.
Fractional coordinates of all 28 atoms:
Ba1 0.0190 0.6331 0.1294  1 Sb 3.57, 6 Bi 3.61-3.96
Ba2 0.1331 0.5190 0.6294  1 Sb 3.57, 6 Bi 3.61-3.96
Ba3 0.2031 0.7969 0.8638  6 Bi 3.57-3.98, 2 Sb 3.61
Ba4 0.2969 0.7031 0.3638  6 Bi 3.57-3.98, 2 Sb 3.61
Ba5 0.3669 0.9810 0.1294  1 Sb 3.57, 6 Bi 3.61-3.96
Ba6 0.4810 0.8669 0.6294  1 Sb 3.57, 6 Bi 3.61-3.96
Ba7 0.5190 0.1331 0.3706  1 Sb 3.57, 6 Bi 3.61-3.96
Ba8 0.6331 0.0190 0.8706  1 Sb 3.57, 6 Bi 3.61-3.96
Ba9 0.7031 0.2969 0.6362  6 Bi 3.57-3.98, 2 Sb 3.61
Ba10 0.7969 0.2031 0.1362  6 Bi 3.57-3.98, 2 Sb 3.61
Ba11 0.8669 0.4810 0.3706  1 Sb 3.57, 6 Bi 3.61-3.96
Ba12 0.9810 0.3669 0.8706  1 Sb 3.57, 6 Bi 3.61-3.96
Bi1 0.0503 0.6179 0.3736  1 Sb 3.03
Bi2 0.1179 0.5503 0.8736  1 Sb 3.03
Bi3 0.2294 0.7706 0.6224  2 Sb 3.20, 1 Ba 3.57
Bi4 0.2706 0.7294 0.1224  2 Sb 3.20, 1 Ba 3.57
Bi5 0.3821 0.9497 0.3736  1 Sb 3.03
Bi6 0.4497 0.8821 0.8736  1 Sb 3.03
Bi7 0.5503 0.1179 0.1264  1 Sb 3.03
Bi8 0.6179 0.0503 0.6264  1 Sb 3.03
Bi9 0.7294 0.2706 0.8776  2 Sb 3.20, 1 Ba 3.57
Bi10 0.7706 0.2294 0.3776  2 Sb 3.20, 1 Ba 3.57
Bi11 0.8821 0.4497 0.1264  1 Sb 3.03
Bi12 0.9497 0.3821 0.6264  1 Sb 3.03
Sb1 0.0885 0.0885 0.5000  4 Bi 3.03-3.20
Sb2 0.4115 0.4115 0.0000  4 Bi 3.03-3.20
Sb3 0.5885 0.5885 0.0000  4 Bi 3.03-3.20
Sb4 0.9115 0.9115 0.5000  4 Bi 3.03-3.20

Space-group type = Cmce (64)
VASP energy = -3.736 eV per atom
Formation energy (no corrections) = -0.660 eV per atom
Calculated density = 6.1 Mg/m³

=====

[6]
# BaCd4Au

A geometry-optimized BaCd4Au structure (PBE-GGA, Alexandria via LeMat-Bulk).

a b c (Å): 9.0115 9.0115 7.9501
angles (deg): 90.00 90.00 149.70
With the nearest neighbours (Å) after each atom.
Fractional coordinates of all 12 atoms:
Ba1 0.1250 0.8750 0.7500  2 Au 3.37, 11 Cd 3.44-3.77
Ba2 0.8750 0.1250 0.2500  2 Au 3.37, 11 Cd 3.44-3.77
Cd1 0.0726 0.9274 0.2500  1 Au 2.84
Cd2 0.3219 0.6781 0.5621  3 Au 2.90-2.97, 2 Cd 2.99-3.14
Cd3 0.3219 0.6781 0.9379  3 Au 2.90-2.97, 2 Cd 2.99-3.14
Cd4 0.5000 0.5000 0.0000  6 Cd 3.14-3.33
Cd5 0.5000 0.5000 0.5000  6 Cd 3.14-3.33
Cd6 0.6781 0.3219 0.0621  3 Au 2.90-2.97, 2 Cd 2.99-3.14
Cd7 0.6781 0.3219 0.4379  3 Au 2.90-2.97, 2 Cd 2.99-3.14
Cd8 0.9274 0.0726 0.7500  1 Au 2.84
Au1 0.2361 0.7639 0.2500  7 Cd 2.84-2.97
Au2 0.7639 0.2361 0.7500  7 Cd 2.84-2.97

Space-group type = Cmcm (63)
Calculated formation energy = -0.293 eV/atom
VASP energy = -1.770 eV per atom
Calculated density = 8.0 Mg/m³
Relative energy among the computed polymorphs = 0.0059 eV/atom

=====

[7]
# NdSm2HoSe4

A geometry-optimized NdSm2HoSe4 structure (PBE-GGA, Alexandria via LeMat-Bulk).

a b c (Å): 7.1924 4.1035 7.2865
angles (deg): 90.00 108.79 90.00
With the nearest neighbours (Å) after each atom.
Fractional coordinates of all 8 atoms:
Nd1 0.0000 0.0000 0.0000  6 Se 2.96
Sm1 0.5000 0.0000 0.5000  6 Se 2.92
Sm2 0.5000 0.5000 0.0000  6 Se 2.99
Ho1 0.0000 0.5000 0.5000  6 Se 2.89-2.90
Se1 0.2438 0.0000 0.7405  2 Ho 2.89, 3 Sm 2.92-2.99, 1 Nd 2.96
Se2 0.2495 0.5000 0.2574  1 Ho 2.90, 3 Sm 2.92-2.99, 2 Nd 2.96
Se3 0.7505 0.5000 0.7426  1 Ho 2.90, 3 Sm 2.92-2.99, 2 Nd 2.96
Se4 0.7562 0.0000 0.2595  2 Ho 2.89, 3 Sm 2.92-2.99, 1 Nd 2.96

Space-group type = P2/m (10)
VASP energy = -5.883 eV per atom
Formation energy (no corrections) = -1.793 eV per atom
Calculated density = 7.6 Mg/m³

=====

[8]
# RbNi2Ag

A geometry-optimized RbNi2Ag structure (PBE-GGA, Alexandria via LeMat-Bulk).

a b c (Å): 6.6835 6.6835 6.6835
angles (deg): 90.00 90.00 90.00
With the nearest neighbours (Å) after each atom.
Fractional coordinates of all 16 atoms:
Rb1 0.0000 0.0000 0.0000  8 Ni 2.89
Rb2 0.0000 0.5000 0.5000  8 Ni 2.89
Rb3 0.5000 0.0000 0.5000  8 Ni 2.89
Rb4 0.5000 0.5000 0.0000  8 Ni 2.89
Ni1 0.2500 0.2500 0.2500  4 Rb 2.89, 4 Ag 2.89
Ni2 0.2500 0.2500 0.7500  4 Rb 2.89, 4 Ag 2.89
Ni3 0.2500 0.7500 0.2500  4 Rb 2.89, 4 Ag 2.89
Ni4 0.2500 0.7500 0.7500  4 Rb 2.89, 4 Ag 2.89
Ni5 0.7500 0.2500 0.2500  4 Rb 2.89, 4 Ag 2.89
Ni6 0.7500 0.2500 0.7500  4 Rb 2.89, 4 Ag 2.89
Ni7 0.7500 0.7500 0.2500  4 Rb 2.89, 4 Ag 2.89
Ni8 0.7500 0.7500 0.7500  4 Rb 2.89, 4 Ag 2.89
Ag1 0.0000 0.0000 0.5000  8 Ni 2.89
Ag2 0.0000 0.5000 0.0000  8 Ni 2.89
Ag3 0.5000 0.0000 0.0000  8 Ni 2.89
Ag4 0.5000 0.5000 0.5000  8 Ni 2.89

Space-group type = Fm-3m (225)
Calculated formation energy = 1.041 eV/atom
VASP energy = -2.805 eV per atom
Calculated density = 6.9 Mg/m³
Relative energy among the computed polymorphs = 0.3436 eV/atom

=====

[9]
# Y2Ni4As3Pt

A geometry-optimized Y2Ni4As3Pt structure (PBE-GGA, Alexandria via LeMat-Bulk).

a b c (Å): 4.0245 4.0245 10.0384
angles (deg): 90.00 90.00 90.00
With the nearest neighbours (Å) after each atom.
Fractional coordinates of all 10 atoms:
Y1 0.0000 0.5000 0.2466  8 Ni 3.05-3.19, 6 As 3.08-3.24, 2 Pt 3.24
Y2 0.5000 0.0000 0.7534  8 Ni 3.05-3.19, 6 As 3.08-3.24, 2 Pt 3.24
Ni1 0.0000 0.0000 0.0000  4 As 2.39
Ni2 0.0000 0.5000 0.6445  3 As 2.28-2.48, 2 Pt 2.48
Ni3 0.5000 0.0000 0.3555  3 As 2.28-2.48, 2 Pt 2.48
Ni4 0.5000 0.5000 0.0000  4 As 2.39
As1 0.0000 0.5000 0.8713  5 Ni 2.28-2.39
As2 0.5000 0.0000 0.1287  5 Ni 2.28-2.39
As3 0.5000 0.5000 0.5000  4 Ni 2.48
Pt1 0.0000 0.0000 0.5000  4 Ni 2.48

Space-group type = P-4m2 (115)
Calculated formation energy = -0.745 eV/atom
VASP energy = -6.350 eV per atom
Calculated density = 8.5 Mg/m³

=====

[10]
# GaCo2Ni

A geometry-optimized GaCo2Ni structure (PBE-GGA, Alexandria via LeMat-Bulk).

a b c (Å): 3.5832 3.5832 7.1890
angles (deg): 90.00 90.00 90.00
With the nearest neighbours (Å) after each atom.
Fractional coordinates of all 8 atoms:
Ga1 0.0000 0.0000 0.0000  4 Ni 2.53, 8 Co 2.54
Ga2 0.5000 0.5000 0.5000  4 Ni 2.53, 8 Co 2.54
Co1 0.0000 0.5000 0.2500  4 Co 2.53, 4 Ni 2.54, 4 Ga 2.54
Co2 0.0000 0.5000 0.7500  4 Co 2.53, 4 Ni 2.54, 4 Ga 2.54
Co3 0.5000 0.0000 0.2500  4 Co 2.53, 4 Ni 2.54, 4 Ga 2.54
Co4 0.5000 0.0000 0.7500  4 Co 2.53, 4 Ni 2.54, 4 Ga 2.54
Ni1 0.0000 0.0000 0.5000  4 Ga 2.53, 8 Co 2.54
Ni2 0.5000 0.5000 0.0000  4 Ga 2.53, 8 Co 2.54

Space-group type = I4/mmm (139)
Calculated formation energy = -0.133 eV/atom
VASP energy = -5.888 eV per atom
Calculated density = 8.9 Mg/m³

=====

[11]
# Er6PuRu5

A geometry-optimized Er6PuRu5 structure (PBE-GGA, Alexandria via LeMat-Bulk).

a b c (Å): 8.4413 8.4413 8.4413
angles (deg): 146.99 131.01 60.34
With the nearest neighbours (Å) after each atom.
Fractional coordinates of all 12 atoms:
Er1 0.0620 0.3249 0.7371  7 Ru 2.92-3.05, 1 Pu 3.15, 2 Er 3.25
Er2 0.2228 0.0000 0.2228  6 Ru 2.86-2.97, 2 Pu 3.08, 1 Er 3.12
Er3 0.4121 0.6751 0.7371  7 Ru 2.92-3.05, 1 Pu 3.15, 2 Er 3.25
Er4 0.5879 0.3249 0.2629  7 Ru 2.92-3.05, 1 Pu 3.15, 2 Er 3.25
Er5 0.7772 0.0000 0.7772  6 Ru 2.86-2.97, 2 Pu 3.08, 1 Er 3.12
Er6 0.9380 0.6751 0.2629  7 Ru 2.92-3.05, 1 Pu 3.15, 2 Er 3.25
Pu1 0.5000 0.5000 0.0000  8 Er 3.08-3.15, 4 Ru 3.28
Ru1 0.0000 0.5000 0.5000  8 Er 2.86-3.05
Ru2 0.1682 0.1682 0.0000  8 Er 2.91-2.94
Ru3 0.3463 0.8463 0.5000  8 Er 2.97-3.04, 2 Pu 3.28
Ru4 0.6537 0.1537 0.5000  8 Er 2.97-3.04, 2 Pu 3.28
Ru5 0.8318 0.8318 0.0000  8 Er 2.91-2.94

Space-group type = Immm (71)
Calculated formation energy = -0.255 eV/atom
VASP energy = -7.595 eV per atom
Calculated density = 11.9 Mg/m³

=====

[12]
# YAg3Pb

A geometry-optimized YAg3Pb structure (PBE-GGA, Alexandria via LeMat-Bulk).

a b c (Å): 5.2359 5.2359 5.2359
angles (deg): 90.00 90.00 90.00
With the nearest neighbours (Å) after each atom.
Fractional coordinates of all 5 atoms:
Y1 0.0000 0.0000 0.0000  12 Ag 3.70
Ag1 0.0000 0.5000 0.5000  2 Pb 2.62
Ag2 0.5000 0.0000 0.5000  2 Pb 2.62
Ag3 0.5000 0.5000 0.0000  2 Pb 2.62
Pb1 0.5000 0.5000 0.5000  6 Ag 2.62

Space-group type = Pm-3m (221)
Calculated formation energy = 0.509 eV/atom
VASP energy = -3.236 eV per atom
Calculated density = 7.2 Mg/m³
Relative energy among the computed polymorphs = 0.5454 eV/atom